Cs2Na2NiH4: relaxed, PBE-GGA.

a = 6.6652 Å, b = 6.6652 Å, c = 6.6652 Å
α = 112.51°, β = 112.51°, γ = 103.56°
Fractional coordinates of all 9 atoms:
Cs: 0.2500 0.7500 0.5000
Cs: 0.7500 0.2500 0.5000
Na: 0.1859 0.1859 0.0000
Na: 0.8141 0.8141 0.0000
Ni: 0.5000 0.5000 0.0000
H: 0.3521 0.3521 0.7041
H: 0.3521 0.6479 0.0000
H: 0.6479 0.3521 0.0000
H: 0.6479 0.6479 0.2959

Computed properties:
The value obtained for the density of states at the Fermi level is 1.06 states/eV/cell. The symmetry is I4/mmm, No. 139. Its density is 2.75 Mg/m³. Its calculated total energy is -2.6341 eV/atom.

=====

Cs2Na2H4Pd: relaxed, PBE-GGA.

a = 6.6965 Å, b = 6.6965 Å, c = 6.6965 Å
α = 113.09°, β = 113.09°, γ = 102.45°
Fractional coordinates of all 9 atoms:
Cs: 0.2500 0.7500 0.5000
Cs: 0.7500 0.2500 0.5000
Na: 0.1780 0.1780 0.0000
Na: 0.8220 0.8220 0.0000
H: 0.3392 0.3392 0.6783
H: 0.3392 0.6608 0.0000
H: 0.6608 0.3392 0.0000
H: 0.6608 0.6608 0.3217
Pd: 0.5000 0.5000 0.0000

Computed properties:
The value obtained for the density of states at the Fermi level is 0.26 states/eV/cell. The symmetry is I4/mmm, No. 139. Its density is 3.07 Mg/m³. Its calculated total energy is -2.6539 eV/atom.

=====

Cs2NaH6Pd: relaxed, PBE-GGA.

a = 6.3389 Å, b = 6.3389 Å, c = 5.6367 Å
α = 90.00°, β = 90.00°, γ = 120.00°
Fractional coordinates of all 10 atoms:
Cs: 0.3333 0.6667 0.2812
Cs: 0.6667 0.3333 0.7188
Na: 0.0000 0.0000 0.0000
H: 0.1285 0.2571 0.6712
H: 0.1285 0.8715 0.6712
H: 0.2571 0.1285 0.3288
H: 0.7429 0.8715 0.6712
H: 0.8715 0.1285 0.3288
H: 0.8715 0.7429 0.3288
Pd: 0.0000 0.0000 0.5000

Computed properties:
The value obtained for the density of states at the Fermi level is 4.73 states/eV/cell. The symmetry is P-3m1, No. 164. Its density is 3.40 Mg/m³. Its calculated total energy is -3.0088 eV/atom.

=====

Cs2NaH6Pt: relaxed, PBE-GGA.

a = 6.4799 Å, b = 6.4799 Å, c = 5.8089 Å
α = 90.00°, β = 90.00°, γ = 120.00°
Fractional coordinates of all 10 atoms:
Cs: 0.3333 0.6667 0.1874
Cs: 0.6667 0.3333 0.8126
Na: 0.0000 0.0000 0.5000
H: 0.1232 0.2463 0.8349
H: 0.1232 0.8768 0.8349
H: 0.2463 0.1232 0.1651
H: 0.7537 0.8768 0.8349
H: 0.8768 0.1232 0.1651
H: 0.8768 0.7537 0.1651
Pt: 0.0000 0.0000 0.0000

Computed properties:
The value obtained for the density of states at the Fermi level is 2.85 states/eV/cell. The symmetry is P-3m1, No. 164. Its density is 3.85 Mg/m³. Its calculated total energy is -3.2209 eV/atom.